Entry 1:
# Th3Sc5 PBE relaxed
# ΔH_f (0 K)	35	meV per atom
# space group	P4/mmm
# total magnetization	0.00	μB per formula unit
# distance to the lowest polymorph of the same formula	11	meV per atom
# calculated total energy	-53.64	eV per cell
# volume	27.51	Å³/atom
data_Th3Sc5
_chemical_formula_sum 'Th3 Sc5'
_space_group_name_H-M_alt 'P 1'
_space_group_IT_number 1
_space_group_name_Hall 'P 1'
_cell_length_a 3.4438
_cell_length_b 3.4438
_cell_length_c 18.5589
_cell_angle_alpha 90.00
_cell_angle_beta 90.00
_cell_angle_gamma 90.00
loop_
_atom_site_label
_atom_site_type_symbol
_atom_site_fract_x
_atom_site_fract_y
_atom_site_fract_z
Th1 Th 0.0000 0.0000 0.0000
Th2 Th 0.5000 0.5000 0.3721
Th3 Th 0.5000 0.5000 0.6279
Sc1 Sc 0.0000 0.0000 0.2473
Sc2 Sc 0.0000 0.0000 0.5000
Sc3 Sc 0.0000 0.0000 0.7527
Sc4 Sc 0.5000 0.5000 0.1243
Sc5 Sc 0.5000 0.5000 0.8757

Entry 2:
# Th5Sc3 PBE relaxed
# ΔH_f (0 K)	43	meV per atom
# space group	P4/mmm
# total magnetization	0.00	μB per formula unit
# distance to the lowest polymorph of the same formula	0	meV per atom
# calculated total energy	-55.75	eV per cell
# volume	29.47	Å³/atom
data_Th5Sc3
_chemical_formula_sum 'Th5 Sc3'
_space_group_name_H-M_alt 'P 1'
_space_group_IT_number 1
_space_group_name_Hall 'P 1'
_cell_length_a 3.5056
_cell_length_b 3.5056
_cell_length_c 19.1859
_cell_angle_alpha 90.00
_cell_angle_beta 90.00
_cell_angle_gamma 90.00
loop_
_atom_site_label
_atom_site_type_symbol
_atom_site_fract_x
_atom_site_fract_y
_atom_site_fract_z
Th1 Th 0.0000 0.0000 0.0000
Th2 Th 0.0000 0.0000 0.2446
Th3 Th 0.0000 0.0000 0.7554
Th4 Th 0.5000 0.5000 0.3756
Th5 Th 0.5000 0.5000 0.6244
Sc1 Sc 0.0000 0.0000 0.5000
Sc2 Sc 0.5000 0.5000 0.1201
Sc3 Sc 0.5000 0.5000 0.8799

Entry 3:
# Th5Sc PBE relaxed
# ΔH_f (0 K)	38	meV per atom
# space group	Cmmm
# total magnetization	0.00	μB per formula unit
# calculated total energy	-43.20	eV per cell
# volume	30.97	Å³/atom
data_Th5Sc
_chemical_formula_sum 'Th5 Sc1'
_space_group_name_H-M_alt 'P 1'
_space_group_IT_number 1
_space_group_name_Hall 'P 1'
_cell_length_a 7.9825
_cell_length_b 7.9825
_cell_length_c 4.9210
_cell_angle_alpha 90.00
_cell_angle_beta 90.00
_cell_angle_gamma 143.66
loop_
_atom_site_label
_atom_site_type_symbol
_atom_site_fract_x
_atom_site_fract_y
_atom_site_fract_z
Th1 Th 0.0000 0.0000 0.0000
Th2 Th 0.1669 0.8331 0.5000
Th3 Th 0.3374 0.6626 0.0000
Th4 Th 0.6626 0.3374 0.0000
Th5 Th 0.8331 0.1669 0.5000
Sc1 Sc 0.5000 0.5000 0.5000

Entry 4:
# Th3Sc PBE relaxed
# ΔH_f (0 K)	40	meV per atom
# space group	I4/mmm
# total magnetization	0.00	μB per formula unit
# distance to the lowest polymorph of the same formula	14	meV per atom
# calculated total energy	-28.43	eV per cell
# volume	30.40	Å³/atom
data_Th3Sc
_chemical_formula_sum 'Th3 Sc1'
_space_group_name_H-M_alt 'P 1'
_space_group_IT_number 1
_space_group_name_Hall 'P 1'
_cell_length_a 6.0972
_cell_length_b 6.0972
_cell_length_c 6.0972
_cell_angle_alpha 132.30
_cell_angle_beta 132.30
_cell_angle_gamma 69.75
loop_
_atom_site_label
_atom_site_type_symbol
_atom_site_fract_x
_atom_site_fract_y
_atom_site_fract_z
Th1 Th 0.0000 0.0000 0.0000
Th2 Th 0.2500 0.7500 0.5000
Th3 Th 0.7500 0.2500 0.5000
Sc1 Sc 0.5000 0.5000 0.0000

Entry 5:
# Th3Sc5 PBE relaxed
# ΔH_f (0 K)	24	meV per atom
# space group	Cmmm
# total magnetization	0.00	μB per formula unit
# distance to the lowest polymorph of the same formula	0	meV per atom
# calculated total energy	-53.72	eV per cell
# volume	27.28	Å³/atom
data_Th3Sc5
_chemical_formula_sum 'Th3 Sc5'
_space_group_name_H-M_alt 'P 1'
_space_group_IT_number 1
_space_group_name_Hall 'P 1'
_cell_length_a 6.6763
_cell_length_b 6.6763
_cell_length_c 4.9032
_cell_angle_alpha 90.00
_cell_angle_beta 90.00
_cell_angle_gamma 93.20
loop_
_atom_site_label
_atom_site_type_symbol
_atom_site_fract_x
_atom_site_fract_y
_atom_site_fract_z
Th1 Th 0.0000 0.0000 0.0000
Th2 Th 0.2562 0.7438 0.5000
Th3 Th 0.7438 0.2562 0.5000
Sc1 Sc 0.0000 0.5000 0.0000
Sc2 Sc 0.2477 0.2477 0.5000
Sc3 Sc 0.5000 0.0000 0.0000
Sc4 Sc 0.5000 0.5000 0.0000
Sc5 Sc 0.7523 0.7523 0.5000

Entry 6:
# Th3Sc PBE relaxed
# ΔH_f (0 K)	26	meV per atom
# space group	P4/mmm
# total magnetization	0.00	μB per formula unit
# distance to the lowest polymorph of the same formula	0	meV per atom
# calculated total energy	-28.49	eV per cell
# volume	30.39	Å³/atom
data_Th3Sc
_chemical_formula_sum 'Th3 Sc1'
_space_group_name_H-M_alt 'P 1'
_space_group_IT_number 1
_space_group_name_Hall 'P 1'
_cell_length_a 3.5711
_cell_length_b 3.5711
_cell_length_c 9.5323
_cell_angle_alpha 90.00
_cell_angle_beta 90.00
_cell_angle_gamma 90.00
loop_
_atom_site_label
_atom_site_type_symbol
_atom_site_fract_x
_atom_site_fract_y
_atom_site_fract_z
Th1 Th 0.0000 0.0000 0.0000
Th2 Th 0.5000 0.5000 0.2603
Th3 Th 0.5000 0.5000 0.7397
Sc1 Sc 0.0000 0.0000 0.5000

Entry 7:
# ThSc7 PBE relaxed
# ΔH_f (0 K)	25	meV per atom
# space group	Fm-3m
# total magnetization	0.00	μB per formula unit
# calculated total energy	-51.54	eV per cell
# volume	25.20	Å³/atom
data_ThSc7
_chemical_formula_sum 'Th1 Sc7'
_space_group_name_H-M_alt 'P 1'
_space_group_IT_number 1
_space_group_name_Hall 'P 1'
_cell_length_a 6.5813
_cell_length_b 6.5813
_cell_length_c 6.5813
_cell_angle_alpha 60.00
_cell_angle_beta 60.00
_cell_angle_gamma 60.00
loop_
_atom_site_label
_atom_site_type_symbol
_atom_site_fract_x
_atom_site_fract_y
_atom_site_fract_z
Th1 Th 0.0000 0.0000 0.0000
Sc1 Sc 0.0000 0.0000 0.5000
Sc2 Sc 0.0000 0.5000 0.0000
Sc3 Sc 0.0000 0.5000 0.5000
Sc4 Sc 0.5000 0.0000 0.0000
Sc5 Sc 0.5000 0.0000 0.5000
Sc6 Sc 0.5000 0.5000 0.0000
Sc7 Sc 0.5000 0.5000 0.5000

Entry 8:
# ThSc3 PBE relaxed
# ΔH_f (0 K)	82	meV per atom
# space group	Fm-3m
# total magnetization	0.00	μB per formula unit
# distance to the lowest polymorph of the same formula	55	meV per atom
# calculated total energy	-26.09	eV per cell
# volume	26.38	Å³/atom
data_ThSc3
_chemical_formula_sum 'Th1 Sc3'
_space_group_name_H-M_alt 'P 1'
_space_group_IT_number 1
_space_group_name_Hall 'P 1'
_cell_length_a 5.3040
_cell_length_b 5.3040
_cell_length_c 5.3040
_cell_angle_alpha 60.00
_cell_angle_beta 60.00
_cell_angle_gamma 60.00
loop_
_atom_site_label
_atom_site_type_symbol
_atom_site_fract_x
_atom_site_fract_y
_atom_site_fract_z
Th1 Th 0.0000 0.0000 0.0000
Sc1 Sc 0.2500 0.2500 0.2500
Sc2 Sc 0.5000 0.5000 0.5000
Sc3 Sc 0.7500 0.7500 0.7500